A relaxed structure of NiH5CN2Cl3, computed with GGA-PBE.

Lattice parameters (Å, degrees): 13.9127 13.9127 5.8931 90.00 90.00 120.00
Atoms (fractional coordinates):
Ni: 0.0000 0.0000 0.0000
Ni: 0.0000 0.0000 0.5000
Ni: 0.3333 0.6667 0.0021
Ni: 0.3333 0.6667 0.4979
Ni: 0.6667 0.3333 0.5021
Ni: 0.6667 0.3333 0.9979
H: 0.0441 0.4825 0.7500
H: 0.0804 0.7667 0.2500
H: 0.0959 0.2520 0.7500
H: 0.1003 0.6084 0.2500
H: 0.1562 0.9041 0.7500
H: 0.1637 0.3976 0.7500
H: 0.2333 0.3138 0.2500
H: 0.2339 0.8363 0.7500
H: 0.2520 0.1562 0.2500
H: 0.3138 0.0804 0.7500
H: 0.3916 0.4919 0.2500
H: 0.3976 0.2339 0.2500
H: 0.4383 0.9559 0.7500
H: 0.4825 0.4383 0.2500
H: 0.4919 0.1003 0.7500
H: 0.5081 0.8997 0.2500
H: 0.5175 0.5617 0.7500
H: 0.5617 0.0441 0.2500
H: 0.6024 0.7661 0.7500
H: 0.6084 0.5081 0.7500
H: 0.6862 0.9196 0.2500
H: 0.7480 0.8438 0.7500
H: 0.7661 0.1637 0.2500
H: 0.7667 0.6862 0.7500
H: 0.8363 0.6024 0.2500
H: 0.8438 0.0959 0.2500
H: 0.8997 0.3916 0.7500
H: 0.9041 0.7480 0.2500
H: 0.9196 0.2333 0.7500
H: 0.9559 0.5175 0.2500
C: 0.0070 0.6836 0.2500
C: 0.3164 0.3234 0.2500
C: 0.3234 0.0070 0.7500
C: 0.6766 0.9930 0.2500
C: 0.6836 0.6766 0.7500
C: 0.9930 0.3164 0.7500
N: 0.0219 0.5976 0.2500
N: 0.0905 0.3231 0.7500
N: 0.2325 0.9095 0.7500
N: 0.3231 0.2325 0.2500
N: 0.4024 0.4243 0.2500
N: 0.4243 0.0219 0.7500
N: 0.5757 0.9781 0.2500
N: 0.5976 0.5757 0.7500
N: 0.6769 0.7675 0.7500
N: 0.7675 0.0905 0.2500
N: 0.9095 0.6769 0.2500
N: 0.9781 0.4024 0.7500
Cl: 0.0240 0.1468 0.2500
Cl: 0.1227 0.9760 0.2500
Cl: 0.1468 0.1227 0.7500
Cl: 0.1907 0.6529 0.7500
Cl: 0.2085 0.5206 0.2500
Cl: 0.3121 0.7915 0.2500
Cl: 0.3471 0.5378 0.7500
Cl: 0.4622 0.8093 0.7500
Cl: 0.4794 0.6879 0.2500
Cl: 0.5206 0.3121 0.7500
Cl: 0.5378 0.1907 0.2500
Cl: 0.6529 0.4622 0.2500
Cl: 0.6879 0.2085 0.7500
Cl: 0.7915 0.4794 0.7500
Cl: 0.8093 0.3471 0.2500
Cl: 0.8532 0.8773 0.2500
Cl: 0.8773 0.0240 0.7500
Cl: 0.9760 0.8532 0.7500

electronic total energy = -4.955 eV/atom
volume = 13.7 Å³ per atom
SG = P6_3/m